The following is a DFT calculation (PBE-GGA) of a geometry-optimized NaNdGeTe3 structure.

## Properties
DFT total energy (eV per cell): -49.43
Space-group type: Cmcm

Cell: 7.659 7.659 11.964 Å, 90.00 90.00 144.67°
Element x y z (fractional)
Na 0.236 0.764 0.750
Na 0.764 0.236 0.250
Nd 0.000 0.000 0.000
Nd 0.000 0.000 0.500
Ge 0.478 0.522 0.250
Ge 0.522 0.478 0.750
Te 0.097 0.903 0.250
Te 0.357 0.643 0.064
Te 0.357 0.643 0.436
Te 0.643 0.357 0.564
Te 0.643 0.357 0.936
Te 0.903 0.097 0.750